{
  "formula": "BaZr4Ni3S12",
  "functional": "GGA-PBE",
  "state": "optimized geometry",
  "mass_density_g_cm3": 4.30,
  "e_tot_ev_per_cell": -124.8,
  "crystal_system": "cubic",
  "formation_energy_uncorrected_mev_per_atom": -1090,
  "cell": [[8.109, 0.000, 0.000], [-2.703, 7.645, 0.000], [-2.703, -3.823, 6.621]],
  "species": ["Ba", "Zr", "Zr", "Zr", "Zr", "Ni", "Ni", "Ni", "S", "S", "S", "S", "S", "S", "S", "S", "S", "S", "S", "S"],
  "frac_coords": [[0.000, 0.000, 0.000], [0.500, 0.000, 0.000], [0.500, 0.500, 0.500], [0.000, 0.500, 0.000], [0.000, 0.000, 0.500], [0.000, 0.500, 0.500], [0.500, 0.500, 0.000], [0.500, 0.000, 0.500], [0.323, 0.839, 0.162], [0.677, 0.161, 0.838], [0.677, 0.839, 0.516], [0.838, 0.677, 0.161], [0.839, 0.162, 0.323], [0.161, 0.484, 0.323], [0.484, 0.323, 0.161], [0.161, 0.838, 0.677], [0.323, 0.161, 0.484], [0.162, 0.323, 0.839], [0.839, 0.516, 0.677], [0.516, 0.677, 0.839]]
}

{
  "formula": "Y5Co19P12",
  "functional": "GGA-PBE",
  "state": "optimized geometry",
  "mass_density_g_cm3": 7.02,
  "e_tot_ev_per_cell": -264.1,
  "crystal_system": "hexagonal",
  "cell": [[-5.536, 10.073, -3.429], [-2.553, -10.390, -5.422], [-2.663, -0.627, 2.456]],
  "species": ["Y", "Y", "Y", "Y", "Y", "Co", "Co", "Co", "Co", "Co", "Co", "Co", "Co", "Co", "Co", "Co", "Co", "Co", "Co", "Co", "Co", "Co", "Co", "Co", "P", "P", "P", "P", "P", "P", "P", "P", "P", "P", "P", "P"],
  "frac_coords": [[0.333, 0.667, 0.500], [0.667, 0.333, 0.500], [0.000, 0.188, 0.000], [0.812, 0.812, 0.000], [0.188, 0.000, 0.000], [0.622, 0.822, 0.500], [0.178, 0.800, 0.500], [0.200, 0.378, 0.500], [0.378, 0.200, 0.500], [0.822, 0.622, 0.500], [0.800, 0.178, 0.500], [0.000, 0.553, 0.500], [0.447, 0.447, 0.500], [0.553, 0.000, 0.500], [0.516, 0.641, 0.000], [0.359, 0.875, 0.000], [0.125, 0.484, 0.000], [0.484, 0.125, 0.000], [0.641, 0.516, 0.000], [0.875, 0.359, 0.000], [0.000, 0.715, 0.000], [0.285, 0.285, 0.000], [0.715, 0.000, 0.000], [0.000, 0.000, 0.500], [0.000, 0.369, 0.500], [0.631, 0.631, 0.500], [0.369, 0.000, 0.500], [0.520, 0.834, 0.000], [0.166, 0.686, 0.000], [0.314, 0.480, 0.000], [0.480, 0.314, 0.000], [0.834, 0.520, 0.000], [0.686, 0.166, 0.000], [0.000, 0.819, 0.500], [0.181, 0.181, 0.500], [0.819, 0.000, 0.500]]
}

{
  "formula": "Ac3La4Pr",
  "functional": "GGA-PBE",
  "state": "optimized geometry",
  "mass_density_g_cm3": 7.12,
  "e_tot_ev_per_cell": -73.0,
  "crystal_system": "orthorhombic",
  "cell": [[-5.093, -4.283, 0.226], [0.124, -0.558, -7.776], [7.965, -9.430, 0.803]],
  "species": ["Ac", "Ac", "Ac", "Ac", "Ac", "Ac", "La", "La", "La", "La", "La", "La", "La", "La", "Pr", "Pr"],
  "frac_coords": [[0.633, 0.631, 0.000], [0.988, 0.635, 0.248], [0.488, 0.365, 0.252], [0.133, 0.369, 0.500], [0.488, 0.365, 0.748], [0.988, 0.635, 0.752], [0.157, 0.893, 0.000], [0.659, 0.116, 0.000], [0.975, 0.119, 0.248], [0.475, 0.881, 0.252], [0.159, 0.884, 0.500], [0.657, 0.107, 0.500], [0.475, 0.881, 0.748], [0.975, 0.119, 0.752], [0.139, 0.368, 0.000], [0.639, 0.632, 0.500]]
}

{
  "formula": "LaCrPt2",
  "functional": "GGA-PBE",
  "state": "optimized geometry",
  "mass_density_g_cm3": 11.28,
  "e_tot_ev_per_cell": -28.0,
  "crystal_system": "tetragonal",
  "cell": [[3.807, 0.000, 0.000], [0.000, 3.799, 0.000], [0.000, 0.000, 5.913]],
  "species": ["Cr", "La", "Pt", "Pt"],
  "frac_coords": [[0.000, 0.000, 0.419], [0.500, 0.500, 0.791], [0.000, 0.000, 0.978], [0.500, 0.500, 0.312]]
}

{
  "formula": "SbOs",
  "functional": "GGA-PBE",
  "state": "optimized geometry",
  "mass_density_g_cm3": 11.33,
  "e_tot_ev_per_cell": -28.9,
  "crystal_system": "trigonal",
  "formation_energy_uncorrected_mev_per_atom": 447,
  "cell": [[6.571, 0.003, 0.002], [5.256, 3.945, 0.002], [5.256, 1.754, 3.533]],
  "species": ["Os", "Os", "Sb", "Sb"],
  "frac_coords": [[0.347, 0.347, 0.347], [0.653, 0.653, 0.653], [0.098, 0.098, 0.098], [0.902, 0.902, 0.902]]
}

{
  "formula": "Hf2CrSb",
  "functional": "GGA-PBE",
  "state": "optimized geometry",
  "mass_density_g_cm3": 10.08,
  "e_tot_ev_per_cell": -63.8,
  "crystal_system": "tetragonal",
  "formation_energy_uncorrected_mev_per_atom": 439,
  "cell": [[-2.640, 0.117, -3.164], [2.718, -2.029, -2.343], [-4.015, -9.909, 0.297]],
  "species": ["Sb", "Sb", "Hf", "Hf", "Hf", "Hf", "Cr", "Cr"],
  "frac_coords": [[0.000, 0.000, 0.000], [0.750, 0.250, 0.500], [0.625, 0.125, 0.250], [0.125, 0.625, 0.250], [0.375, 0.375, 0.750], [0.875, 0.875, 0.750], [0.500, 0.500, 0.000], [0.250, 0.750, 0.500]]
}

{
  "formula": "MnTcSnW",
  "functional": "GGA-PBE",
  "state": "optimized geometry",
  "mass_density_g_cm3": 12.40,
  "e_tot_ev_per_cell": -35.9,
  "crystal_system": "cubic",
  "cell": [[4.419, 0.000, 0.000], [2.209, 3.827, 0.000], [2.209, 1.276, 3.608]],
  "species": ["Mn", "Sn", "W", "Tc"],
  "frac_coords": [[0.500, 0.500, 0.500], [0.750, 0.750, 0.750], [0.250, 0.250, 0.250], [0.000, 0.000, 0.000]]
}

{
  "formula": "CdS2NF",
  "functional": "GGA-PBE",
  "state": "optimized geometry",
  "mass_density_g_cm3": 2.95,
  "e_tot_ev_per_cell": -12.8,
  "crystal_system": "tetragonal",
  "formation_energy_uncorrected_mev_per_atom": 1306,
  "cell": [[5.213, 0.000, 0.000], [0.000, 5.213, 0.000], [0.000, 0.000, 4.338]],
  "species": ["N", "S", "S", "F", "Cd"],
  "frac_coords": [[0.000, 0.000, 0.500], [0.000, 0.500, 0.000], [0.500, 0.000, 0.000], [0.500, 0.500, 0.500], [0.000, 0.000, 0.000]]
}

{
  "formula": "BeMo2Rh4",
  "functional": "GGA-PBE",
  "state": "optimized geometry",
  "mass_density_g_cm3": 9.65,
  "e_tot_ev_per_cell": -52.1,
  "crystal_system": "tetragonal",
  "cell": [[4.009, 0.000, 0.000], [0.000, 4.009, 0.000], [2.005, 2.005, 6.555]],
  "species": ["Be", "Mo", "Mo", "Rh", "Rh", "Rh", "Rh"],
  "frac_coords": [[0.000, 0.000, 0.000], [0.654, 0.654, 0.691], [0.346, 0.346, 0.309], [0.833, 0.833, 0.334], [0.167, 0.167, 0.666], [0.000, 0.500, 0.000], [0.500, 0.000, 0.000]]
}

{
  "formula": "In2SbTe",
  "functional": "GGA-PBE",
  "state": "optimized geometry",
  "mass_density_g_cm3": 6.69,
  "e_tot_ev_per_cell": -12.2,
  "crystal_system": "trigonal",
  "formation_energy_uncorrected_mev_per_atom": 123,
  "cell": [[-5.944, -9.978, -4.780], [-6.780, -10.452, -1.595], [-8.610, -8.443, -3.514]],
  "species": ["In", "In", "Sb", "Te"],
  "frac_coords": [[0.990, 0.990, 0.990], [0.510, 0.510, 0.510], [0.250, 0.250, 0.250], [0.750, 0.750, 0.750]]
}

{
  "formula": "LiTmGe2",
  "functional": "GGA-PBE",
  "state": "optimized geometry",
  "mass_density_g_cm3": 7.10,
  "e_tot_ev_per_cell": -17.8,
  "crystal_system": "tetragonal",
  "cell": [[-2.395, -0.928, -3.202], [-2.839, -1.800, 2.645], [-2.002, 3.757, 0.408]],
  "species": ["Ge", "Ge", "Tm", "Li"],
  "frac_coords": [[0.000, 0.000, 0.500], [0.000, 0.500, 0.000], [0.500, 0.500, 0.500], [0.500, 0.000, 0.000]]
}

{
  "formula": "TaWAu2",
  "functional": "GGA-PBE",
  "state": "optimized geometry",
  "mass_density_g_cm3": 18.03,
  "e_tot_ev_per_cell": -31.1,
  "crystal_system": "orthorhombic",
  "cell": [[2.827, 0.004, 0.000], [-0.637, 2.754, 0.000], [0.000, 0.000, 8.970]],
  "species": ["Au", "Au", "Ta", "W"],
  "frac_coords": [[0.000, 0.000, 0.991], [0.500, 0.500, 0.257], [0.000, 0.000, 0.505], [0.500, 0.500, 0.746]]
}